(1)
A geometry-optimized BeCdTe2 structure, computed with PBE.

Structure (extended XYZ):
```
4
Lattice="4.118 0.000 0.000 0.000 4.118 0.000 0.000 0.000 5.813" Properties=species:S:1:pos:R:3 pbc="T T T"
Be 0.000 0.000 0.000
Cd 2.059 2.059 2.907
Te 0.000 0.000 2.907
Te 2.059 2.059 0.000
```

As for the total energy: -10.6 eV/f.u. As for the space group: No. 123. The value obtained for the uncorrected formation energy is 0.083 eV/atom. The value obtained for the energy relative to the lowest polymorph listed for this composition is 471 meV per atom.

(2)
A geometry-optimized BeCdTe2 structure, computed with PBE.

Structure (extended XYZ):
```
16
Lattice="8.649 0.000 0.000 0.000 4.030 0.000 -6.117 0.000 13.095" Properties=species:S:1:pos:R:3 pbc="T T T"
Be 0.518 0.462 3.296
Be -2.540 1.553 9.844
Be 5.072 2.477 3.251
Be 2.013 3.568 9.798
Cd -0.289 2.368 8.641
Cd 2.770 3.676 2.093
Cd -0.238 0.353 11.002
Cd 2.820 1.661 4.454
Te -0.053 2.458 2.082
Te -3.111 3.586 8.630
Te -2.476 2.679 12.013
Te 0.582 3.365 5.466
Te 1.949 0.664 7.629
Te 5.008 1.350 1.082
Te 5.643 0.444 4.465
Te 2.585 1.571 11.012
```

As for the total energy: -10.8 eV/f.u. As for the space group: No. 14. The value obtained for the uncorrected formation energy is 0.028 eV/atom. The value obtained for the energy relative to the lowest polymorph listed for this composition is 416 meV per atom.

(3)
A geometry-optimized Be3CdTe structure, computed with PBE.

Structure (extended XYZ):
```
5
Lattice="4.768 0.000 0.000 0.000 4.768 0.000 0.000 0.000 4.768" Properties=species:S:1:pos:R:3 pbc="T T T"
Be 0.000 0.000 2.384
Be 0.000 2.384 0.000
Be 2.384 0.000 0.000
Cd 2.384 2.384 2.384
Te 0.000 0.000 0.000
```

As for the total energy: -9.1 eV/f.u. As for the space group: No. 221. The value obtained for the uncorrected formation energy is 1.219 eV/atom. The value obtained for the energy relative to the lowest polymorph listed for this composition is 171 meV per atom.

(4)
A geometry-optimized BeCdTe2 structure, computed with PBE.

Structure (extended XYZ):
```
12
Lattice="4.312 0.000 0.000 -2.156 3.734 0.000 0.000 0.000 21.673" Properties=species:S:1:pos:R:3 pbc="T T T"
Be 0.000 0.000 0.000
Be 0.000 2.490 14.449
Be 2.156 1.245 7.224
Cd 0.000 0.000 10.909
Cd 0.000 2.490 3.685
Cd 2.156 1.245 18.134
Te 0.000 0.000 2.428
Te 0.000 0.000 13.733
Te 0.000 2.490 6.508
Te 0.000 2.490 16.877
Te 2.156 1.245 9.653
Te 2.156 1.245 20.957
```

As for the total energy: -12.2 eV/f.u. As for the space group: No. 160. The value obtained for the uncorrected formation energy is -0.315 eV/atom. The value obtained for the energy relative to the lowest polymorph listed for this composition is 74 meV per atom.

(5)
A geometry-optimized BeCdTe2 structure, computed with PBE.

Structure (extended XYZ):
```
16
Lattice="7.827 0.000 0.000 0.000 7.827 0.000 0.000 0.000 6.431" Properties=species:S:1:pos:R:3 pbc="T T T"
Be 0.000 3.913 1.608
Be 0.000 3.913 4.823
Be 3.913 0.000 1.608
Be 3.913 0.000 4.823
Cd 0.000 0.000 1.608
Cd 0.000 0.000 4.823
Cd 3.913 3.913 1.608
Cd 3.913 3.913 4.823
Te 1.323 2.591 0.000
Te 1.323 5.236 3.216
Te 2.591 1.323 3.216
Te 2.591 6.504 0.000
Te 5.236 1.323 0.000
Te 5.236 6.504 3.216
Te 6.504 2.591 3.216
Te 6.504 5.236 0.000
```

As for the total energy: -11.1 eV/f.u. As for the space group: No. 140. The value obtained for the uncorrected formation energy is -0.040 eV/atom. The value obtained for the energy relative to the lowest polymorph listed for this composition is 348 meV per atom.

(6)
A geometry-optimized BeCdTe2 structure, computed with PBE.

Structure (extended XYZ):
```
4
Lattice="3.441 0.000 0.000 0.000 3.441 0.000 0.000 0.000 7.942" Properties=species:S:1:pos:R:3 pbc="T T T"
Be 0.000 0.000 0.000
Cd 0.000 0.000 3.971
Te 1.720 1.720 1.539
Te 1.720 1.720 6.404
```

As for the total energy: -9.4 eV/f.u. As for the space group: No. 123. The value obtained for the uncorrected formation energy is 0.388 eV/atom. The value obtained for the energy relative to the lowest polymorph listed for this composition is 776 meV per atom.

(7)
A geometry-optimized BeCdTe2 structure, computed with PBE.

Structure (extended XYZ):
```
32
Lattice="6.292 -5.297 0.000 6.292 5.297 0.000 -0.471 0.000 13.312" Properties=species:S:1:pos:R:3 pbc="T T T"
Be 1.183 1.032 1.981
Be 0.948 -1.032 8.636
Be 4.627 1.107 8.561
Be 4.862 -1.107 1.905
Be 7.251 1.107 11.406
Be 7.487 -1.107 4.751
Be 11.166 1.032 4.675
Be 10.930 -1.032 11.331
Cd 4.644 2.999 1.433
Cd 4.031 1.305 5.144
Cd 7.705 2.999 5.223
Cd 3.795 -1.305 11.799
Cd 8.318 1.305 1.512
Cd 4.408 -2.999 8.088
Cd 8.083 -1.305 8.168
Cd 7.470 -2.999 11.879
Te 6.174 4.774 3.328
Te 3.377 2.611 10.029
Te 5.638 2.904 7.188
Te 3.260 0.342 0.620
Te 6.241 2.904 12.779
Te 3.025 -0.342 7.276
Te 8.501 2.611 9.938
Te 6.174 0.331 3.328
Te 5.939 -0.331 9.984
Te 3.612 -2.611 3.373
Te 9.089 0.342 6.035
Te 5.873 -2.904 0.532
Te 8.853 -0.342 12.691
Te 6.476 -2.904 6.124
Te 8.737 -2.611 3.283
Te 5.939 -4.774 9.984
```

As for the total energy: -11.8 eV/f.u. As for the space group: No. 15. The value obtained for the uncorrected formation energy is -0.223 eV/atom. The value obtained for the energy relative to the lowest polymorph listed for this composition is 165 meV per atom.

(8)
A geometry-optimized BeCd3Te structure, computed with PBE.

Structure (extended XYZ):
```
5
Lattice="4.912 0.000 0.000 0.000 4.912 0.000 0.000 0.000 4.912" Properties=species:S:1:pos:R:3 pbc="T T T"
Be 0.000 0.000 0.000
Cd 0.000 0.000 2.456
Cd 0.000 2.456 0.000
Cd 2.456 0.000 0.000
Te 2.456 2.456 2.456
```

As for the total energy: -8.2 eV/f.u. As for the space group: No. 221. The value obtained for the uncorrected formation energy is 0.289 eV/atom. The value obtained for the energy relative to the lowest polymorph listed for this composition is 0 meV per atom.

(9)
A geometry-optimized BeCdTe2 structure, computed with PBE.

Structure (extended XYZ):
```
16
Lattice="7.369 0.000 0.000 0.000 7.369 0.000 0.000 0.000 7.228" Properties=species:S:1:pos:R:3 pbc="T T T"
Be 0.000 0.000 1.807
Be 0.000 0.000 5.421
Be 3.684 3.684 1.807
Be 3.684 3.684 5.421
Cd 0.000 3.684 1.807
Cd 0.000 3.684 5.421
Cd 3.684 0.000 1.807
Cd 3.684 0.000 5.421
Te 1.569 2.115 0.000
Te 1.569 5.254 3.614
Te 2.115 1.569 3.614
Te 2.115 5.799 0.000
Te 5.254 1.569 0.000
Te 5.254 5.799 3.614
Te 5.799 2.115 3.614
Te 5.799 5.254 0.000
```

As for the total energy: -9.2 eV/f.u. As for the space group: No. 140. The value obtained for the uncorrected formation energy is 0.432 eV/atom. The value obtained for the energy relative to the lowest polymorph listed for this composition is 820 meV per atom.

(10)
A geometry-optimized BeCdTe2 structure, computed with PBE.

Structure (extended XYZ):
```
16
Lattice="6.197 0.000 0.000 0.000 6.197 0.000 0.000 0.000 11.894" Properties=species:S:1:pos:R:3 pbc="T T T"
Be 0.000 0.000 0.000
Be 0.000 3.098 2.974
Be 3.098 0.000 8.921
Be 3.098 3.098 5.947
Cd 0.000 0.000 5.947
Cd 0.000 3.098 8.921
Cd 3.098 0.000 2.974
Cd 3.098 3.098 0.000
Te 1.223 1.549 1.487
Te 1.549 4.321 4.460
Te 1.549 4.974 10.408
Te 1.876 1.549 7.434
Te 4.321 4.648 7.434
Te 4.648 1.223 10.408
Te 4.648 1.876 4.460
Te 4.974 4.648 1.487
```

As for the total energy: -12.5 eV/f.u. As for the space group: No. 122. The value obtained for the uncorrected formation energy is -0.388 eV/atom. The value obtained for the energy relative to the lowest polymorph listed for this composition is 0 meV per atom.

(11)
A geometry-optimized BeCdTe2 structure, computed with PBE.

Structure (extended XYZ):
```
16
Lattice="7.207 0.000 0.000 0.000 7.207 0.000 0.000 0.000 7.207" Properties=species:S:1:pos:R:3 pbc="T T T"
Be 0.000 0.000 0.000
Be 0.000 3.603 3.603
Be 3.603 0.000 3.603
Be 3.603 3.603 0.000
Cd 0.000 0.000 3.603
Cd 0.000 3.603 0.000
Cd 3.603 0.000 0.000
Cd 3.603 3.603 3.603
Te 1.802 1.802 1.802
Te 1.802 1.802 5.405
Te 1.802 5.405 1.802
Te 1.802 5.405 5.405
Te 5.405 1.802 1.802
Te 5.405 1.802 5.405
Te 5.405 5.405 1.802
Te 5.405 5.405 5.405
```

As for the total energy: -8.9 eV/f.u. As for the space group: No. 225. The value obtained for the uncorrected formation energy is 0.513 eV/atom. The value obtained for the energy relative to the lowest polymorph listed for this composition is 901 meV per atom.

(12)
A geometry-optimized BeCdTe structure, computed with PBE.

Structure (extended XYZ):
```
12
Lattice="6.475 0.000 0.000 0.000 6.475 0.000 0.000 0.000 6.475" Properties=species:S:1:pos:R:3 pbc="T T T"
Be 0.000 0.000 0.000
Be 0.000 3.238 3.238
Be 3.238 0.000 3.238
Be 3.238 3.238 0.000
Cd 1.619 1.619 4.857
Cd 1.619 4.857 1.619
Cd 4.857 1.619 1.619
Cd 4.857 4.857 4.857
Te 1.619 1.619 1.619
Te 1.619 4.857 4.857
Te 4.857 1.619 4.857
Te 4.857 4.857 1.619
```

As for the total energy: -6.8 eV/f.u. As for the space group: No. 216. The value obtained for the uncorrected formation energy is 0.332 eV/atom. The value obtained for the energy relative to the lowest polymorph listed for this composition is 254 meV per atom.

(13)
A geometry-optimized BeCdTe2 structure, computed with PBE.

Structure (extended XYZ):
```
4
Lattice="4.564 0.000 0.000 0.000 3.680 0.000 -1.686 0.000 7.143" Properties=species:S:1:pos:R:3 pbc="T T T"
Be 0.000 0.000 0.000
Cd 1.439 0.000 3.571
Te -0.101 1.840 1.699
Te 2.979 1.840 5.444
```

As for the total energy: -10.5 eV/f.u. As for the space group: No. 10. The value obtained for the uncorrected formation energy is 0.110 eV/atom. The value obtained for the energy relative to the lowest polymorph listed for this composition is 499 meV per atom.

(14)
A geometry-optimized BeCdTe2 structure, computed with PBE.

Structure (extended XYZ):
```
4
Lattice="3.172 0.000 0.000 0.000 3.172 0.000 0.000 0.000 9.830" Properties=species:S:1:pos:R:3 pbc="T T T"
Be 0.000 0.000 0.000
Cd 1.586 1.586 1.848
Te 0.000 0.000 4.723
Te 1.586 1.586 8.317
```

As for the total energy: -9.5 eV/f.u. As for the space group: No. 99. The value obtained for the uncorrected formation energy is 0.364 eV/atom. The value obtained for the energy relative to the lowest polymorph listed for this composition is 752 meV per atom.

(15)
A geometry-optimized Th2BeCd structure, computed with PBE.

Structure (extended XYZ):
```
12
Lattice="3.309 0.000 0.000 -1.655 2.866 0.000 0.000 0.000 34.866" Properties=species:S:1:pos:R:3 pbc="T T T"
Th 0.000 0.000 2.972
Th 0.000 0.000 31.894
Th 0.000 1.911 20.272
Th 0.000 1.911 26.217
Th 1.655 0.955 8.650
Th 1.655 0.955 14.595
Be 0.000 0.000 0.000
Be 0.000 1.911 23.244
Be 1.655 0.955 11.622
Cd 0.000 0.000 17.433
Cd 0.000 1.911 5.811
Cd 1.655 0.955 29.055
```

The calculation puts the formation energy at 686 meV per atom. As for the total energy: -16.7 eV/f.u. As for the space group: No. 166. The value obtained for the energy relative to the lowest polymorph listed for this composition is 632 meV per atom.

(16)
A geometry-optimized Th2BeCd structure, computed with PBE.

Structure (extended XYZ):
```
4
Lattice="3.316 0.000 0.000 0.000 3.316 0.000 0.000 0.000 8.832" Properties=species:S:1:pos:R:3 pbc="T T T"
Th 0.000 0.000 1.865
Th 0.000 0.000 6.967
Be 1.658 1.658 0.000
Cd 1.658 1.658 4.416
```

The calculation puts the formation energy at 55 meV per atom. As for the total energy: -19.3 eV/f.u. As for the space group: No. 123. The value obtained for the energy relative to the lowest polymorph listed for this composition is 0 meV per atom.

(17)
A geometry-optimized Ti2Be2Cd structure, computed with PBE.

Structure (extended XYZ):
```
10
Lattice="6.323 0.000 0.000 0.000 6.323 0.000 0.000 0.000 3.532" Properties=species:S:1:pos:R:3 pbc="T T T"
Ti 1.038 2.123 0.000
Ti 2.123 5.285 0.000
Ti 4.200 1.038 0.000
Ti 5.285 4.200 0.000
Be 0.768 3.929 1.766
Be 2.394 0.768 1.766
Be 3.929 5.556 1.766
Be 5.556 2.394 1.766
Cd 0.000 0.000 1.766
Cd 3.162 3.162 1.766
```

The calculation puts the formation energy at -76 meV per atom. As for the total energy: -24.5 eV/f.u. As for the space group: No. 127. The value obtained for the energy relative to the lowest polymorph listed for this composition is 0 meV per atom.

(18)
A geometry-optimized Ti3BeCd structure, computed with PBE.

Structure (extended XYZ):
```
5
Lattice="4.432 0.000 0.000 0.000 4.432 0.000 0.000 0.000 4.432" Properties=species:S:1:pos:R:3 pbc="T T T"
Ti 0.000 0.000 2.216
Ti 0.000 2.216 0.000
Ti 2.216 0.000 0.000
Be 0.000 0.000 0.000
Cd 2.216 2.216 2.216
```

The calculation puts the formation energy at 283 meV per atom. As for the total energy: -26.9 eV/f.u. As for the space group: No. 221. The value obtained for the energy relative to the lowest polymorph listed for this composition is 0 meV per atom.

(19)
A geometry-optimized TiBe2Cd structure, computed with PBE.

Structure (extended XYZ):
```
16
Lattice="6.618 0.000 0.000 0.000 6.618 0.000 0.000 0.000 5.485" Properties=species:S:1:pos:R:3 pbc="T T T"
Ti 0.000 0.000 0.000
Ti 0.000 3.309 1.371
Ti 3.309 0.000 4.114
Ti 3.309 3.309 2.742
Be 1.621 1.654 3.428
Be 1.654 4.930 4.799
Be 1.654 4.997 2.057
Be 1.688 1.654 0.686
Be 4.930 4.963 0.686
Be 4.963 1.621 2.057
Be 4.963 1.688 4.799
Be 4.997 4.963 3.428
Cd 0.000 0.000 2.742
Cd 0.000 3.309 4.114
Cd 3.309 0.000 1.371
Cd 3.309 3.309 0.000
```

The calculation puts the formation energy at 592 meV per atom. As for the total energy: -13.9 eV/f.u. As for the space group: No. 122.

(20)
A geometry-optimized Ti2Be2Cd structure, computed with PBE.

Structure (extended XYZ):
```
10
Lattice="7.574 0.000 0.000 0.000 7.574 0.000 0.000 0.000 2.636" Properties=species:S:1:pos:R:3 pbc="T T T"
Ti 0.945 2.842 0.000
Ti 2.842 6.629 0.000
Ti 4.732 0.945 0.000
Ti 6.629 4.732 0.000
Be 1.293 5.080 1.318
Be 2.494 1.293 1.318
Be 5.080 6.281 1.318
Be 6.281 2.494 1.318
Cd 0.000 0.000 0.000
Cd 3.787 3.787 0.000
```

The calculation puts the formation energy at 323 meV per atom. As for the total energy: -22.5 eV/f.u. As for the space group: No. 127. The value obtained for the energy relative to the lowest polymorph listed for this composition is 399 meV per atom.